# ZnMo2O4 | the Alexandria database | PBE+U | optimized geometry
# M_tot ... 6.0 μB per formula unit
# Electronic total energy ... -550.25 eV for the cell shown
# Energy above the lowest structure with this stoichiometry ... 40 meV/atom
data_ZnMo2O4
_cell_length_a 11.117
_cell_length_b 6.333
_cell_length_c 15.463
_cell_angle_alpha 90.00
_cell_angle_beta 91.28
_cell_angle_gamma 90.00
_symmetry_space_group_name_H-M 'C 1 m 1'
_symmetry_Int_Tables_number 8
loop_
_symmetry_equiv_pos_as_xyz
'x,y,z'
'x,-y,z'
'x+1/2,y+1/2,z'
'x+1/2,-y+1/2,z'
loop_
_atom_site_label
_atom_site_type_symbol
_atom_site_fract_x
_atom_site_fract_y
_atom_site_fract_z
Zn1 Zn 0.000 0.000 0.000
Zn2 Zn 0.000 0.000 0.244
Zn3 Zn 0.157 0.500 0.665
Zn4 Zn 0.161 0.500 0.286
Zn5 Zn 0.164 0.500 0.914
Zn6 Zn 0.321 0.000 0.582
Mo1 Mo 0.005 0.500 0.123
Mo2 Mo 0.070 0.251 0.455
Mo3 Mo 0.160 0.000 0.790
Mo4 Mo 0.251 0.252 0.125
Mo5 Mo 0.320 0.500 0.455
Mo6 Mo 0.325 0.000 0.332
Mo7 Mo 0.332 0.000 0.957
Mo8 Mo 0.410 0.250 0.790
Mo9 Mo 0.488 0.500 0.623
O1 O 0.008 0.500 0.369
O2 O 0.069 0.236 0.709
O3 O 0.092 0.260 0.203
O4 O 0.143 0.000 0.538
O5 O 0.157 0.500 0.532
O6 O 0.168 0.500 0.048
O7 O 0.178 0.000 0.042
O8 O 0.229 0.256 0.381
O9 O 0.252 0.236 0.870
O10 O 0.322 0.500 0.208
O11 O 0.324 0.000 0.714
O12 O 0.335 0.500 0.708
O13 O 0.344 0.000 0.198
O14 O 0.409 0.263 0.535
O15 O 0.411 0.237 0.044
O16 O 0.485 0.500 0.380
O17 O 0.486 0.000 0.872
O18 O 0.497 0.500 0.866